## SmEr3Tm2Bi6 (GGA-PBE)

Data for a geometry-optimized SmEr3Tm2Bi6 structure.

Cell: 9.973 9.973 8.923 Å, 102.88 102.88 25.85°
Sites, in units of the cell vectors:
Sm (0.000, 0.000, 0.000)
Er (0.000, 0.000, 0.500)
Er (0.335, 0.335, 0.168)
Er (0.665, 0.665, 0.832)
Tm (0.333, 0.333, 0.667)
Tm (0.667, 0.667, 0.333)
Bi (0.167, 0.167, 0.582)
Bi (0.169, 0.169, 0.085)
Bi (0.499, 0.499, 0.744)
Bi (0.501, 0.501, 0.256)
Bi (0.831, 0.831, 0.915)
Bi (0.833, 0.833, 0.418)

## Properties
**Energy**: -60.46 eV for the cell shown
**Calculated density**: 9.89 g cm⁻³
**Formation enthalpy at 0 K**: -0.819 eV/atom
**Symmetry**: C2/m